No. 1
BaFeAs2: optimized geometry, PBE.

Computed properties:
Energy of formation from the pure elements, eV/atom: -0.09

Cell lengths 3.402, 3.402, 7.354 Å; angles 90.00, 90.00, 90.00 degrees
Space group P4/mmm (No. 123)
Symmetry-distinct sites (fractional):
1 Ba 0.000 0.000 0.000 (multiplicity 1)
2 Fe 0.000 0.000 0.500 (multiplicity 1)
3 As 0.500 0.500 0.325 (multiplicity 2)

=====

No. 2
BaFeAs2: optimized geometry, PBE.

Computed properties:
Energy of formation from the pure elements, eV/atom: -0.33

Cell lengths 7.924, 4.032, 6.431 Å; angles 90.00, 102.77, 90.00 degrees
Space group Cm (No. 8)
Symmetry-distinct sites (fractional):
1 Ba 0.000 0.000 0.000 (multiplicity 2)
2 Fe 0.277 0.000 0.557 (multiplicity 2)
3 As 0.107 0.500 0.647 (multiplicity 2)
4 As 0.252 0.500 0.343 (multiplicity 2)

=====

No. 3
Ba2FeAs: optimized geometry, PBE.

Computed properties:
Energy of formation from the pure elements, eV/atom: -0.21

Cell lengths 4.338, 4.508, 16.321 Å; angles 90.00, 90.00, 90.00 degrees
Space group Imm2 (No. 44)
Symmetry-distinct sites (fractional):
1 Ba 0.000 0.000 0.000 (multiplicity 2)
2 Ba 0.000 0.500 0.264 (multiplicity 2)
3 Fe 0.000 0.500 0.857 (multiplicity 2)
4 As 0.000 0.000 0.416 (multiplicity 2)

=====

No. 4
BaFe2As: optimized geometry, PBE.

Computed properties:
Energy of formation from the pure elements, eV/atom: 0.29

Cell lengths 4.051, 6.234, 7.684 Å; angles 90.00, 90.00, 90.00 degrees
Space group Imm2 (No. 44)
Symmetry-distinct sites (fractional):
1 Ba 0.000 0.000 0.000 (multiplicity 2)
2 Fe 0.000 0.000 0.484 (multiplicity 2)
3 Fe 0.000 0.500 0.146 (multiplicity 2)
4 As 0.000 0.500 0.829 (multiplicity 2)

=====

No. 5
Ba2FeAs: optimized geometry, PBE.

Computed properties:
Energy of formation from the pure elements, eV/atom: 0.00

Cell lengths 5.443, 5.443, 4.304 Å; angles 90.00, 90.00, 90.00 degrees
Space group P4/mmm (No. 123)
Symmetry-distinct sites (fractional):
1 Ba 0.000 0.500 0.000 (multiplicity 2)
2 Fe 0.000 0.000 0.500 (multiplicity 1)
3 As 0.500 0.500 0.500 (multiplicity 1)

=====

No. 6
BaFe2As: optimized geometry, PBE.

Computed properties:
Energy of formation from the pure elements, eV/atom: 0.37

Cell lengths 4.353, 6.143, 7.295 Å; angles 90.00, 90.00, 90.00 degrees
Space group Immm (No. 71)
Symmetry-distinct sites (fractional):
1 Ba 0.000 0.000 0.000 (multiplicity 2)
2 Fe 0.000 0.500 0.150 (multiplicity 4)
3 As 0.000 0.000 0.500 (multiplicity 2)

=====

No. 7
BaFeAs2: optimized geometry, PBE.

Computed properties:
Energy of formation from the pure elements, eV/atom: 0.38

Cell lengths 7.204, 7.204, 7.204 Å; angles 90.00, 90.00, 90.00 degrees
Space group F-43m (No. 216)
Symmetry-distinct sites (fractional):
1 Ba 0.000 0.000 0.000 (multiplicity 4)
2 Fe 0.250 0.250 0.750 (multiplicity 4)
3 As 0.000 0.000 0.500 (multiplicity 4)
4 As 0.250 0.250 0.250 (multiplicity 4)

=====

No. 8
BaFe4As12: optimized geometry, PBE.

Computed properties:
Energy of formation from the pure elements, eV/atom: -0.31

Cell lengths 8.428, 8.428, 8.428 Å; angles 90.00, 90.00, 90.00 degrees
Space group Im-3 (No. 204)
Symmetry-distinct sites (fractional):
1 Ba 0.000 0.000 0.000 (multiplicity 2)
2 Fe 0.250 0.250 0.250 (multiplicity 8)
3 As 0.000 0.158 0.347 (multiplicity 24)

=====

No. 9
BaFe2As: optimized geometry, PBE.

Computed properties:
Energy of formation from the pure elements, eV/atom: 0.76

Cell lengths 6.243, 9.684, 3.222 Å; angles 90.00, 120.43, 90.00 degrees
Space group C2/m (No. 12)
Symmetry-distinct sites (fractional):
1 Ba 0.000 0.000 0.000 (multiplicity 2)
2 Fe 0.250 0.250 0.500 (multiplicity 4)
3 As 0.000 0.500 0.000 (multiplicity 2)

=====

No. 10
BaFeAs2: optimized geometry, PBE.

Computed properties:
Energy of formation from the pure elements, eV/atom: -0.43

Cell lengths 5.336, 5.336, 14.691 Å; angles 90.00, 90.00, 90.00 degrees
Space group I-42d (No. 122)
Symmetry-distinct sites (fractional):
1 Ba 0.000 0.000 0.000 (multiplicity 4)
2 Fe 0.000 0.000 0.500 (multiplicity 4)
3 As 0.001 0.750 0.625 (multiplicity 8)

=====

No. 11
BaFeAs2: optimized geometry, PBE.

Computed properties:
Energy of formation from the pure elements, eV/atom: -0.34

Cell lengths 4.300, 4.127, 12.010 Å; angles 90.00, 90.00, 90.00 degrees
Space group Amm2 (No. 38)
Symmetry-distinct sites (fractional):
1 Ba 0.000 0.000 0.000 (multiplicity 2)
2 Fe 0.500 0.000 0.768 (multiplicity 2)
3 As 0.000 0.000 0.718 (multiplicity 2)
4 As 0.500 0.000 0.360 (multiplicity 2)

=====

No. 12
Ba2FeAs: optimized geometry, PBE.

Computed properties:
Energy of formation from the pure elements, eV/atom: -0.15

Cell lengths 11.799, 11.799, 4.555 Å; angles 90.00, 90.00, 90.00 degrees
Space group I-42d (No. 122)
Symmetry-distinct sites (fractional):
1 Ba 0.054 0.250 0.125 (multiplicity 8)
2 Fe 0.000 0.000 0.000 (multiplicity 4)
3 As 0.000 0.000 0.500 (multiplicity 4)

=====

Looking at total DFT energy (no corrections) for the records above, in order, we have -5.013, -5.256, -4.451, -5.589, -4.237, -5.501, -4.545, -5.698, -5.115, -5.349, -5.259, -4.386 eV per atom.